(1)
A relaxed structure of InSeO4. Source: Alexandria via LeMat-Bulk, functional PBE-GGA.

a = 9.5892 Å, b = 5.7297 Å, c = 6.4965 Å
α = 90.00°, β = 90.57°, γ = 90.00°
Space group C2/c (No. 15)
Unique sites:
1 In 0.2500 0.2500 0.0000 x4
2 Se 0.0000 0.0737 0.2500 x4
3 O 0.0233 0.2596 0.0426 x8
4 O 0.1960 0.0283 0.2770 x8

Volume   14.87 A^3/atom
Distance to the lowest polymorph of the same formula   0 meV per atom
Raw formation energy   -5.04 eV/f.u.
Energy   -5.182 eV per atom

---

(2)
A relaxed structure of InSe2O8. Source: Alexandria via LeMat-Bulk, functional PBE-GGA.

a = 5.6396 Å, b = 5.6396 Å, c = 7.0094 Å
α = 90.00°, β = 90.00°, γ = 120.00°
Space group P-3m1 (No. 164)
Unique sites:
1 In 0.0000 0.0000 0.0000 x1
2 Se 0.3333 0.6667 0.2645 x2
3 O 0.1712 0.3424 0.1908 x6
4 O 0.3333 0.6667 0.5009 x2

Volume   17.55 A^3/atom
Raw formation energy   -6.43 eV/f.u.
Energy   -5.073 eV per atom

---

(3)
A relaxed structure of InSeO2. Source: Alexandria via LeMat-Bulk, functional PBE-GGA.

a = 3.2821 Å, b = 3.2821 Å, c = 20.5684 Å
α = 90.00°, β = 90.00°, γ = 120.00°
Space group R-3m (No. 166, hexagonal axes)
Unique sites:
1 In 0.0000 0.0000 0.0000 x3
2 Se 0.0000 0.0000 0.5000 x3
3 O 0.0000 0.0000 0.1170 x6

Volume   15.99 A^3/atom
Distance to the lowest polymorph of the same formula   661 meV per atom
Raw formation energy   -1.00 eV/f.u.
Energy   -4.286 eV per atom

---

(4)
A relaxed structure of InSeO2. Source: Alexandria via LeMat-Bulk, functional PBE-GGA.

a = 5.9523 Å, b = 5.9523 Å, c = 7.0568 Å
α = 90.00°, β = 90.00°, γ = 90.00°
Space group I-42d (No. 122)
Unique sites:
1 In 0.0000 0.0000 0.0000 x4
2 Se 0.0000 0.0000 0.5000 x4
3 O 0.2148 0.7500 0.1250 x8

Volume   15.63 A^3/atom
Distance to the lowest polymorph of the same formula   579 meV per atom
Raw formation energy   -1.34 eV/f.u.
Energy   -4.369 eV per atom